# 1
VASP calculation (PBE-GGA) on crystalline SrMg2Rh at its relaxed geometry.

POSCAR file:
```
SrMg2Rh
1.0
4.376 0.000 0.000
0.000 4.067 -0.016
0.000 1.970 6.021
Mg Rh Sr
2 1 1
Direct
0.000 0.982 0.154
0.500 0.444 0.229
0.000 0.340 0.449
0.500 0.734 0.668
```

## Properties
ΔE_f: -0.137 eV per atom
M_tot: 0.000 μB/cell
volume: 107.3 Å³ per cell

***

# 2
VASP calculation (PBE-GGA) on crystalline SrMg2Rh at its relaxed geometry.

POSCAR file:
```
SrMg2Rh
1.0
-3.303 -2.985 -4.048
5.595 -5.579 -0.451
-7.277 -8.270 12.037
Sr Mg Rh
8 16 8
Direct
0.465 0.250 0.136
0.965 0.750 0.364
0.535 0.750 0.864
0.035 0.250 0.636
0.780 0.250 0.396
0.280 0.750 0.104
0.220 0.750 0.604
0.720 0.250 0.896
0.971 0.057 0.211
0.471 0.943 0.289
0.029 0.557 0.789
0.529 0.443 0.711
0.029 0.943 0.789
0.529 0.057 0.711
0.971 0.443 0.211
0.471 0.557 0.289
0.799 0.563 0.047
0.299 0.437 0.453
0.201 0.063 0.953
0.701 0.937 0.547
0.201 0.437 0.953
0.701 0.563 0.547
0.799 0.937 0.047
0.299 0.063 0.453
0.244 0.250 0.310
0.744 0.750 0.190
0.756 0.750 0.690
0.256 0.250 0.810
0.979 0.250 0.069
0.479 0.750 0.431
0.021 0.750 0.931
0.521 0.250 0.569
```

## Properties
ΔE_f: -0.347 eV per atom
M_tot: 0.000 μB/cell
volume: 777.0 Å³ per cell

***

# 3
VASP calculation (PBE-GGA) on crystalline Sr2MgRh at its relaxed geometry.

POSCAR file:
```
Sr2MgRh
1.0
5.836 0.046 0.000
1.837 5.540 0.000
-3.837 -2.793 3.398
Mg Rh Sr
1 1 2
Direct
0.500 0.500 0.000
0.750 0.250 0.500
0.000 0.000 0.000
0.250 0.750 0.500
```

## Properties
ΔE_f: 0.071 eV per atom
M_tot: 0.000 μB/cell
volume: 109.6 Å³ per cell

***

# 4
VASP calculation (PBE-GGA) on crystalline Sr3MgRh8 at its relaxed geometry.

POSCAR file:
```
Sr3MgRh8
1.0
5.190 0.000 1.567
2.359 4.623 1.567
0.005 0.003 9.362
Sr Mg Rh
3 1 8
Direct
0.375 0.375 0.876
0.998 0.998 0.005
0.501 0.501 0.498
0.874 0.874 0.377
0.930 0.437 0.196
0.446 0.938 0.678
0.437 0.437 0.196
0.938 0.938 0.678
0.188 0.188 0.436
0.688 0.688 0.937
0.437 0.930 0.196
0.938 0.446 0.678
```

## Properties
ΔE_f: -0.241 eV per atom
M_tot: 0.000 μB/cell
volume: 224.6 Å³ per cell

***

# 5
VASP calculation (PBE-GGA) on crystalline Sr4MgRh at its relaxed geometry.

POSCAR file:
```
Sr4MgRh
1.0
0.000 4.835 4.835
4.835 0.000 4.835
4.835 4.835 0.000
Sr Mg Rh
4 1 1
Direct
0.878 0.374 0.374
0.374 0.374 0.878
0.374 0.878 0.374
0.374 0.374 0.374
0.750 0.750 0.750
0.000 0.000 0.000
```

## Properties
ΔE_f: 0.751 eV per atom
M_tot: 0.000 μB/cell
ΔE to the lowest computed polymorph: 5.34 eV/f.u.
volume: 226.0 Å³ per cell

***

# 6
VASP calculation (PBE-GGA) on crystalline SrMg2Rh at its relaxed geometry.

POSCAR file:
```
SrMg2Rh
1.0
-6.823 4.583 5.442
-5.591 2.309 7.784
-3.955 5.349 7.275
Mg Rh Sr
2 1 1
Direct
0.008 0.008 0.008
0.767 0.767 0.767
0.493 0.493 0.493
0.233 0.233 0.233
```

## Properties
ΔE_f: 0.103 eV per atom
M_tot: 0.000 μB/cell
volume: 101.8 Å³ per cell